Entry A
The following is a GGA+U calculation of crystalline BaNiN2F at its relaxed geometry, from Alexandria.

Computed properties:
The value obtained for the size of the total moment is 3.025 μB/cell. For the theoretical density, the calculation gives 3.72 g/cm3.

a = 4.741 Å, b = 4.741 Å, c = 4.833 Å
α = 90.00°, β = 90.00°, γ = 90.00°
Fractional positions:
F: 0.000 0.000 0.500
Ba: 0.000 0.000 0.000
Ni: 0.500 0.500 0.500
N: 0.500 0.000 0.000
N: 0.000 0.500 0.000

***

Entry B
The following is a GGA+U calculation of crystalline BaNiN2F at its relaxed geometry, from Alexandria.

Computed properties:
The value obtained for the size of the total moment is 3.214 μB/cell. For the theoretical density, the calculation gives 5.60 g/cm3.

a = 3.745 Å, b = 3.745 Å, c = 5.144 Å
α = 90.00°, β = 90.00°, γ = 90.00°
Fractional positions:
Ba: 0.500 0.500 0.500
N: 0.000 0.500 0.000
N: 0.500 0.000 0.000
F: 0.000 0.000 0.500
Ni: 0.000 0.000 0.000

***

Stability, lowest: entry A

***

Entry A
The following is a GGA+U calculation of crystalline BaNiNF2 at its relaxed geometry, from Alexandria.

Computed properties:
The value obtained for the size of the total moment is 3.000 μB/cell. For the theoretical density, the calculation gives 3.01 g/cm3.

a = 4.976 Å, b = 4.976 Å, c = 5.519 Å
α = 90.00°, β = 90.00°, γ = 90.00°
Fractional positions:
Ba: 0.000 0.000 0.000
F: 0.000 0.500 0.000
F: 0.500 0.000 0.000
Ni: 0.500 0.500 0.500
N: 0.000 0.000 0.500

***

Entry B
The following is a GGA+U calculation of crystalline BaNiNF2 at its relaxed geometry, from Alexandria.

Computed properties:
The value obtained for the size of the total moment is 2.999 μB/cell. For the theoretical density, the calculation gives 5.71 g/cm3.

a = 4.217 Å, b = 4.217 Å, c = 4.053 Å
α = 90.00°, β = 90.00°, γ = 90.00°
Fractional positions:
F: 0.000 0.500 0.000
F: 0.500 0.000 0.000
Ba: 0.500 0.500 0.500
Ni: 0.000 0.000 0.000
N: 0.000 0.000 0.500

***

Stability, lowest: entry A